An optimized crystal structure of FeTe2Cl. Source: the Alexandria database, functional GGA-PBEsol.

The volume is 95 Å³ per cell. The energy above the most stable polymorph in this dataset is 2.88 eV per formula unit. As for the crystal system: tetragonal. For the total moment, the calculation gives 0.951 μB per atom. The value obtained for the total energy is -3.967 eV per atom.

The space group is P4/mmm (No. 123) and the conventional cell measures 4.1522, 4.1522 and 5.5055 Å, with angles of 90.00, 90.00 and 90.00 degrees. The inequivalent atoms are Fe at (0.0000, 0.0000, 0.0000), Te at (0.0000, 0.5000, 0.5000) and Cl at (0.5000, 0.5000, 0.0000).

---

An optimized crystal structure of FeTe2Cl. Source: the Alexandria database, functional GGA-PBEsol.

The volume is 261 Å³ per cell. The energy above the most stable polymorph in this dataset is 0.00 eV per formula unit. As for the crystal system: trigonal. For the total moment, the calculation gives 0.354 μB per atom. The value obtained for the total energy is -4.687 eV per atom.

The space group is R-3m (No. 166, hexagonal axes) and the conventional cell measures 3.6757, 3.6757 and 22.2765 Å, with angles of 90.00, 90.00 and 120.00 degrees. The inequivalent atoms are Fe at (0.0000, 0.0000, 0.0000), Te at (0.0000, 0.0000, 0.2706) and Cl at (0.0000, 0.0000, 0.5000).

---

Please write out number 1 again, unchanged.
An optimized crystal structure of FeTe2Cl. Source: the Alexandria database, functional GGA-PBEsol.

The volume is 95 Å³ per cell. The energy above the most stable polymorph in this dataset is 2.88 eV per formula unit. As for the crystal system: tetragonal. For the total moment, the calculation gives 0.951 μB per atom. The value obtained for the total energy is -3.967 eV per atom.

The space group is P4/mmm (No. 123) and the conventional cell measures 4.1522, 4.1522 and 5.5055 Å, with angles of 90.00, 90.00 and 90.00 degrees. The inequivalent atoms are Fe at (0.0000, 0.0000, 0.0000), Te at (0.0000, 0.5000, 0.5000) and Cl at (0.5000, 0.5000, 0.0000).

---

> Look up the volume of the second one.

261 Å³ per cell

---

> Which of these has the lowest total moment?

number 2